Here is LiOs2W after structural relaxation from Alexandria via LeMat-Bulk. Energies are from GGA-PBE.

Structure (POSCAR):
```
LiOs2W
1.0
-2.168 -1.126 -1.137
1.950 -1.717 0.714
-3.809 -0.924 8.180
Li Os W
1 2 1
Cartesian
-2.966 -2.115 5.924
-1.898 -0.460 4.076
-0.007 -0.002 0.014
-1.061 -1.653 1.834
```

Output
- symmetry = Cmmm, No. 65
- ΔH_f (0 K) (eV per atom) = 0.302

---

Here is LiOsW2 after structural relaxation from Alexandria via LeMat-Bulk. Energies are from GGA-PBE.

Structure (POSCAR):
```
LiOsW2
1.0
2.772 0.000 0.000
0.000 3.980 0.000
0.000 0.000 5.350
Li Os W
1 1 2
Cartesian
1.386 1.990 1.338
1.386 1.990 4.013
0.000 0.000 2.684
0.000 0.000 5.341
```

Output
- symmetry = Pmmm, No. 47
- ΔH_f (0 K) (eV per atom) = 0.333

---

Here is LiOsW2 after structural relaxation from Alexandria via LeMat-Bulk. Energies are from GGA-PBE.

Structure (POSCAR):
```
LiOsW2
1.0
4.758 0.000 0.000
1.584 4.487 0.000
-3.171 -2.243 2.748
Li W Os
1 2 1
Cartesian
0.792 2.244 1.374
3.171 2.243 0.000
0.000 0.000 0.000
2.379 0.000 1.374
```

Output
- symmetry = I4/mmm, No. 139
- ΔH_f (0 K) (eV per atom) = 0.404

---

Here is LiOsW2 after structural relaxation from Alexandria via LeMat-Bulk. Energies are from GGA-PBE.

Structure (POSCAR):
```
LiOsW2
1.0
-1.123 -0.077 -4.195
-0.421 -2.649 0.162
-4.993 -0.137 1.339
Os Li W
1 1 2
Cartesian
-4.622 -2.128 -0.972
-1.915 -0.735 -1.722
-2.692 -1.355 0.746
-0.015 -0.038 0.005
```

Output
- symmetry = P2/m, No. 10
- ΔH_f (0 K) (eV per atom) = 0.295

---

Here is LiOsW2 after structural relaxation from Alexandria via LeMat-Bulk. Energies are from GGA-PBE.

Structure (POSCAR):
```
LiOsW2
1.0
-2.519 -0.551 -0.794
1.898 -0.863 -1.713
0.368 -8.285 4.582
Li Os W
1 1 2
Cartesian
-0.218 -2.778 -0.108
-0.034 -6.921 2.183
0.364 -8.203 4.537
0.188 -4.224 2.336
```

Output
- symmetry = Cmmm, No. 65
- ΔH_f (0 K) (eV per atom) = 0.452

---

Here is LiOs2W after structural relaxation from Alexandria via LeMat-Bulk. Energies are from GGA-PBE.

Structure (POSCAR):
```
LiOs2W
1.0
-0.628 -2.482 0.908
3.846 -1.011 -0.103
0.569 1.662 4.938
Li W Os
1 1 2
Cartesian
2.042 -0.483 4.154
0.289 0.844 2.508
0.560 1.636 4.861
1.750 -1.334 1.627
```

Output
- symmetry = Pmm2, No. 25
- ΔH_f (0 K) (eV per atom) = 0.264

---

Here is LiOsW2 after structural relaxation from Alexandria via LeMat-Bulk. Energies are from GGA-PBE.

Structure (POSCAR):
```
LiOsW2
1.0
2.764 0.000 0.000
0.000 2.764 0.000
0.000 0.000 7.930
Li Os W
1 1 2
Cartesian
0.000 0.000 4.102
1.382 1.382 5.935
1.382 1.382 2.022
0.000 0.000 7.767
```

Output
- symmetry = P4mm, No. 99
- ΔH_f (0 K) (eV per atom) = 0.462

---

Here is LiOsW2 after structural relaxation from Alexandria via LeMat-Bulk. Energies are from GGA-PBE.

Structure (POSCAR):
```
LiOsW2
1.0
-1.887 -0.022 -4.836
0.013 -4.461 2.509
-2.628 -0.245 0.442
W Li Os
2 1 1
Cartesian
-2.258 -0.133 -2.197
0.000 0.000 0.000
-1.307 -2.353 1.475
-0.937 -2.242 -1.163
```

Output
- symmetry = C2/m, No. 12
- ΔH_f (0 K) (eV per atom) = 0.315

---

Here is LiYOs after structural relaxation from Alexandria via LeMat-Bulk. Energies are from GGA-PBE.

Structure (POSCAR):
```
LiYOs
1.0
-0.262 -4.866 1.559
3.497 -2.113 3.079
-2.919 4.186 -0.363
Y Li Os
1 1 1
Cartesian
2.184 -4.711 3.131
3.159 -6.814 4.528
1.128 -2.432 1.616
```

Output
- symmetry = I4mm, No. 107
- ΔH_f (0 K) (eV per atom) = 0.150
- polymorph energy (0 for the lowest one) (eV/atom) = 0.000

---

Here is LiYOs after structural relaxation from Alexandria via LeMat-Bulk. Energies are from GGA-PBE.

Structure (POSCAR):
```
LiYOs
1.0
-0.719 -2.599 -3.676
3.531 -1.863 -2.200
0.703 -4.499 0.216
Y Os Li
1 1 1
Cartesian
0.879 -2.240 -1.415
1.758 -4.480 -2.830
0.000 0.000 0.000
```

Output
- symmetry = F-43m, No. 216
- ΔH_f (0 K) (eV per atom) = 0.916
- polymorph energy (0 for the lowest one) (eV/atom) = 0.767

---

Here is LiY2Os after structural relaxation from Alexandria via LeMat-Bulk. Energies are from GGA-PBE.

Structure (POSCAR):
```
LiY2Os
1.0
7.637 0.000 0.000
0.000 7.637 0.000
3.818 3.818 3.191
Y Li Os
4 2 2
Cartesian
9.546 9.688 2.393
1.767 5.727 0.798
5.727 5.586 2.393
5.869 1.909 0.798
3.818 7.637 1.595
3.818 3.818 0.000
7.637 3.818 1.595
0.000 0.000 0.000
```

Output
- symmetry = I-42d, No. 122
- ΔH_f (0 K) (eV per atom) = 0.313
- polymorph energy (0 for the lowest one) (eV/atom) = 0.526

---

Here is LiY2Os after structural relaxation from Alexandria via LeMat-Bulk. Energies are from GGA-PBE.

Structure (POSCAR):
```
LiY2Os
1.0
3.456 0.000 0.000
0.000 4.357 0.000
0.000 0.000 5.947
Y Os Li
2 1 1
Cartesian
1.728 2.179 1.699
0.000 0.000 5.531
1.728 2.179 4.693
0.000 0.000 2.945
```

Output
- symmetry = Pmm2, No. 25
- ΔH_f (0 K) (eV per atom) = 0.204
- polymorph energy (0 for the lowest one) (eV/atom) = 0.417

---

Here is LiY2Os after structural relaxation from Alexandria via LeMat-Bulk. Energies are from GGA-PBE.

Structure (POSCAR):
```
LiY2Os
1.0
-0.185 -3.205 -1.311
3.015 -0.796 1.519
-3.626 -2.251 6.018
Li Os Y
1 1 2
Cartesian
-2.020 -1.254 3.352
-1.107 -3.566 4.288
-3.344 -2.076 5.550
0.235 -2.733 2.062
```

Output
- symmetry = P4mm, No. 99
- ΔH_f (0 K) (eV per atom) = 0.145
- polymorph energy (0 for the lowest one) (eV/atom) = 0.357

---

Here is LiY2Os2 after structural relaxation from Alexandria via LeMat-Bulk. Energies are from GGA-PBE.

Structure (POSCAR):
```
LiY2Os2
1.0
-0.103 -1.133 5.250
-4.254 -3.188 -0.772
0.341 -5.367 1.597
Os Li Y
2 1 2
Cartesian
-1.444 -3.096 2.052
-2.573 -6.593 4.023
0.000 0.000 0.000
-3.046 -5.358 1.532
-0.971 -4.331 4.543
```

Output
- symmetry = I4/mmm, No. 139
- ΔH_f (0 K) (eV per atom) = 0.412
- polymorph energy (0 for the lowest one) (eV/atom) = 0.337

---

Here is LiYOs after structural relaxation from Alexandria via LeMat-Bulk. Energies are from GGA-PBE.

Structure (POSCAR):
```
LiYOs
1.0
-3.573 2.298 1.412
1.889 -3.061 2.665
1.907 2.225 1.204
Os Li Y
1 1 1
Cartesian
0.392 -0.897 2.452
0.311 0.362 0.196
-0.480 1.997 2.633
```

Output
- symmetry = P3m1, No. 156
- ΔH_f (0 K) (eV per atom) = 0.192
- polymorph energy (0 for the lowest one) (eV/atom) = 0.042

---

Here is LiY2Os after structural relaxation from Alexandria via LeMat-Bulk. Energies are from GGA-PBE.

Structure (POSCAR):
```
LiY2Os
1.0
-3.602 -1.640 -1.182
-1.955 -3.392 1.319
-4.717 3.831 5.790
Y Li Os
2 1 1
Cartesian
-4.534 3.510 5.445
-5.320 -0.279 3.309
-2.569 -0.300 1.482
-7.706 -0.901 4.445
```

Output
- symmetry = C2/m, No. 12
- ΔH_f (0 K) (eV per atom) = 0.111
- polymorph energy (0 for the lowest one) (eV/atom) = 0.323

---

Here is LiY2Os after structural relaxation from Alexandria via LeMat-Bulk. Energies are from GGA-PBE.

Structure (POSCAR):
```
LiY2Os
1.0
0.000 3.475 3.475
3.475 0.000 3.475
3.475 3.475 0.000
Li Y Os
1 2 1
Cartesian
0.000 0.000 0.000
5.212 5.212 5.212
1.737 1.737 1.737
3.475 3.475 3.475
```

Output
- symmetry = Fm-3m, No. 225
- ΔH_f (0 K) (eV per atom) = -0.212
- polymorph energy (0 for the lowest one) (eV/atom) = 0.000

---

Here is LiY2Os after structural relaxation from Alexandria via LeMat-Bulk. Energies are from GGA-PBE.

Structure (POSCAR):
```
LiY2Os
1.0
-2.942 -1.032 3.728
-4.408 -1.870 -0.829
-0.932 -4.629 1.151
Li Os Y
1 1 2
Cartesian
-4.141 -3.765 2.025
-2.071 -1.883 1.012
-6.212 -5.648 3.037
0.000 0.000 0.000
```

Output
- symmetry = F-43m, No. 216
- ΔH_f (0 K) (eV per atom) = 0.249
- polymorph energy (0 for the lowest one) (eV/atom) = 0.461

---

Here is LiY2Os after structural relaxation from Alexandria via LeMat-Bulk. Energies are from GGA-PBE.

Structure (POSCAR):
```
LiY2Os
1.0
5.596 0.032 0.000
2.355 5.076 0.000
-3.975 -2.554 2.998
Os Y Li
1 2 1
Cartesian
2.798 0.016 1.499
1.177 2.538 1.499
0.000 0.000 0.000
3.975 2.554 0.000
```

Output
- symmetry = I-4m2, No. 119
- ΔH_f (0 K) (eV per atom) = 0.157
- polymorph energy (0 for the lowest one) (eV/atom) = 0.370

---

Here is LiY2Os after structural relaxation from Alexandria via LeMat-Bulk. Energies are from GGA-PBE.

Structure (POSCAR):
```
LiY2Os
1.0
-0.864 -3.072 1.258
-0.655 -1.116 -3.177
7.702 -2.462 -0.723
Y Li Os
2 1 1
Cartesian
4.204 -1.344 -0.395
7.348 -2.349 -0.689
1.166 -2.710 -1.140
5.017 -3.941 -1.501
```

Output
- symmetry = P4/mmm, No. 123
- ΔH_f (0 K) (eV per atom) = -0.139
- polymorph energy (0 for the lowest one) (eV/atom) = 0.073

---

no.,calculated volume (Å³/cell)
1,60
2,59
3,59
4,59
5,63
6,57
7,61
8,59
9,54
10,67
11,186
12,90
13,89
14,119
15,55
16,108
17,84
18,81
19,85
20,96